Computed, not measured: crystalline CePr4Zn5 at its relaxed geometry at the PBE level of DFT.

The space group is P4/mmm (No. 123) and the conventional cell measures 3.693, 3.693 and 18.514 Å, with angles of 90.00, 90.00 and 90.00 degrees. The inequivalent atoms are Ce at (0.000, 0.000, 0.000), Pr at (0.000, 0.000, 0.197), Pr at (0.000, 0.000, 0.399), Zn at (0.500, 0.500, 0.095), Zn at (0.500, 0.500, 0.299) and Zn at (0.500, 0.500, 0.500).

The value obtained for the magnetic moment is 0.65 μB/f.u. The value obtained for the formation energy from the elements is -272 meV per atom.